Below is crystalline Rb2NaNbS4 at its relaxed geometry, with properties calculated at the PBE-GGA level.

a b c (Å): 6.4293 13.7882 24.7957
angles (deg): 90.00 90.00 90.00
Closest atoms and distances in Å follow each position.
Space group Fddd (No. 70, origin choice 2)
Asymmetric unit:
Rb 0.1250 0.1250 0.3071 [16 per cell]  6 S 3.60-3.98
Na 0.1250 0.1250 0.1250 [8 per cell]  4 S 2.68
Nb 0.1250 0.1250 0.6250 [8 per cell]  4 S 2.30
S 0.0793 0.2756 0.8224 [32 per cell]  1 Nb 2.30

Raw formation energy (eV per formula unit): -8.9